Pr6Sm3Dy2Tm: optimized geometry, GGA-PBE.

Output
* theoretical density: 7.26 g/cm³
* formation enthalpy at 0 K: 0.013 eV/atom
* uncorrected energy: -4.696 eV per atom
* space group: C2/m

Cell lengths 6.3358, 6.3358, 11.9765 Å; angles 95.05, 95.05, 120.01 degrees
With the nearest neighbours (Å) after each atom.
Fractional positions:
Pr 0.0829 0.4157 0.2470  2 Dy 3.59-3.60, 1 Tm 3.60, 6 Pr 3.65-3.66, 3 Sm 3.65-3.66
Pr 0.2501 0.2501 0.7528  1 Tm 3.60, 2 Dy 3.60, 3 Sm 3.65-3.66, 6 Pr 3.65-3.66
Pr 0.4157 0.0829 0.2470  2 Dy 3.59-3.60, 1 Tm 3.60, 6 Pr 3.65-3.66, 3 Sm 3.65-3.66
Pr 0.5843 0.9171 0.7530  2 Dy 3.59-3.60, 1 Tm 3.60, 6 Pr 3.65-3.66, 3 Sm 3.65-3.66
Pr 0.7499 0.7499 0.2472  1 Tm 3.60, 2 Dy 3.60, 3 Sm 3.65-3.66, 6 Pr 3.65-3.66
Pr 0.9171 0.5843 0.7530  2 Dy 3.59-3.60, 1 Tm 3.60, 6 Pr 3.65-3.66, 3 Sm 3.65-3.66
Sm 0.1666 0.8334 0.5000  6 Pr 3.65-3.66, 6 Sm 3.66
Sm 0.5000 0.5000 0.5000  6 Pr 3.65-3.66, 6 Sm 3.66
Sm 0.8334 0.1666 0.5000  6 Pr 3.65-3.66, 6 Sm 3.66
Dy 0.3333 0.6667 0.0000  6 Pr 3.59-3.60, 3 Tm 3.66, 3 Dy 3.66
Dy 0.6667 0.3333 0.0000  6 Pr 3.59-3.60, 3 Tm 3.66, 3 Dy 3.66
Tm 0.0000 0.0000 0.0000  6 Pr 3.60, 6 Dy 3.66

=====

PrSm5Dy2Tm: optimized geometry, GGA-PBE.

Output
* theoretical density: 7.52 g/cm³
* formation enthalpy at 0 K: 0.147 eV/atom
* uncorrected energy: -4.526 eV per atom
* space group: Cmc2_1

Cell lengths 10.5069, 10.5069, 10.7356 Å; angles 90.00, 90.00, 148.88 degrees
With the nearest neighbours (Å) after each atom.
Fractional positions:
Pr 0.2025 0.7975 0.5000  2 Dy 3.47-3.75, 8 Sm 3.51-3.87, 2 Tm 3.68
Pr 0.7975 0.2025 0.0000  2 Dy 3.47-3.75, 8 Sm 3.51-3.87, 2 Tm 3.68
Sm 0.0168 0.9832 0.5144  2 Tm 3.25, 3 Dy 3.44-3.60
Sm 0.2819 0.7181 0.7971  1 Tm 3.09, 1 Dy 3.37, 2 Sm 3.43
Sm 0.2985 0.7015 0.1956  3 Sm 3.43-3.69, 1 Tm 3.49, 3 Pr 3.51-3.80, 2 Dy 3.53
Sm 0.3933 0.6067 0.5156  5 Sm 3.47-3.77, 4 Dy 3.59-3.63, 1 Pr 3.87
Sm 0.4796 0.5204 0.2322  2 Tm 3.21-3.34, 2 Sm 3.47-3.51, 2 Dy 3.51
Sm 0.5204 0.4796 0.7322  2 Tm 3.21-3.34, 2 Sm 3.47-3.51, 2 Dy 3.51
Sm 0.6067 0.3933 0.0156  5 Sm 3.47-3.77, 4 Dy 3.59-3.63, 1 Pr 3.87
Sm 0.7015 0.2985 0.6956  3 Sm 3.43-3.69, 1 Tm 3.49, 3 Pr 3.51-3.80, 2 Dy 3.53
Sm 0.7181 0.2819 0.2971  1 Tm 3.09, 1 Dy 3.37, 2 Sm 3.43
Sm 0.9832 0.0168 0.0144  2 Tm 3.25, 3 Dy 3.44-3.60
Dy 0.1094 0.8906 0.2282  7 Sm 3.44-3.84, 1 Pr 3.47, 2 Tm 3.71
Dy 0.1157 0.8843 0.8088  9 Sm 3.37-3.74, 1 Pr 3.75
Dy 0.8843 0.1157 0.3088  9 Sm 3.37-3.74, 1 Pr 3.75
Dy 0.8906 0.1094 0.7282  7 Sm 3.44-3.84, 1 Pr 3.47, 2 Tm 3.71
Tm 0.4111 0.5889 0.9495  5 Sm 3.09-3.34
Tm 0.5889 0.4111 0.4495  5 Sm 3.09-3.34

=====

PrSmDy2Tm: optimized geometry, GGA-PBE.

Output
* theoretical density: 7.46 g/cm³
* formation enthalpy at 0 K: 0.387 eV/atom
* uncorrected energy: -4.248 eV per atom
* space group: Cmcm

Cell lengths 7.1441, 7.1441, 7.1877 Å; angles 90.00, 90.00, 107.72 degrees
With the nearest neighbours (Å) after each atom.
Fractional positions:
Pr 0.2299 0.7701 0.7500  1 Sm 3.11
Pr 0.7701 0.2299 0.2500  1 Sm 3.11
Sm 0.4991 0.5009 0.7500  1 Pr 3.11, 4 Dy 3.19, 1 Tm 3.23
Sm 0.5009 0.4991 0.2500  1 Pr 3.11, 4 Dy 3.19, 1 Tm 3.23
Dy 0.1877 0.1877 0.0000  1 Dy 3.16, 2 Sm 3.19, 2 Tm 3.50
Dy 0.1877 0.1877 0.5000  1 Dy 3.16, 2 Sm 3.19, 2 Tm 3.50
Dy 0.8123 0.8123 0.0000  1 Dy 3.16, 2 Sm 3.19, 2 Tm 3.50
Dy 0.8123 0.8123 0.5000  1 Dy 3.16, 2 Sm 3.19, 2 Tm 3.50
Tm 0.2209 0.7791 0.2500  1 Sm 3.23, 4 Dy 3.50, 2 Pr 3.60
Tm 0.7791 0.2209 0.7500  1 Sm 3.23, 4 Dy 3.50, 2 Pr 3.60

=====

Pr6SmDy2Tm: optimized geometry, GGA-PBE.

Output
* theoretical density: 7.13 g/cm³
* formation enthalpy at 0 K: 0.114 eV/atom
* uncorrected energy: -4.593 eV per atom
* space group: C2/c

Cell lengths 9.0228, 9.0228, 9.6993 Å; angles 93.72, 93.72, 117.61 degrees
With the nearest neighbours (Å) after each atom.
Fractional positions:
Pr 0.0056 0.5642 0.1900  3 Pr 3.33-3.71, 1 Tm 3.47, 1 Dy 3.50, 1 Sm 3.61
Pr 0.1173 0.7619 0.5542  7 Pr 3.49-3.82, 1 Dy 3.53, 2 Sm 3.69-3.86
Pr 0.2381 0.8827 0.9458  7 Pr 3.49-3.82, 1 Dy 3.53, 2 Sm 3.69-3.86
Pr 0.2929 0.5108 0.3832  3 Dy 3.32-3.51, 4 Pr 3.33-3.68, 2 Tm 3.46-3.58
Pr 0.4358 0.9944 0.3100  3 Pr 3.33-3.71, 1 Tm 3.47, 1 Dy 3.50, 1 Sm 3.61
Pr 0.4892 0.7071 0.1168  3 Dy 3.32-3.51, 4 Pr 3.33-3.68, 2 Tm 3.46-3.58
Pr 0.5108 0.2929 0.8832  3 Dy 3.32-3.51, 4 Pr 3.33-3.68, 2 Tm 3.46-3.58
Pr 0.5642 0.0056 0.6900  3 Pr 3.33-3.71, 1 Tm 3.47, 1 Dy 3.50, 1 Sm 3.61
Pr 0.7071 0.4892 0.6168  3 Dy 3.32-3.51, 4 Pr 3.33-3.68, 2 Tm 3.46-3.58
Pr 0.7619 0.1173 0.0542  7 Pr 3.49-3.82, 1 Dy 3.53, 2 Sm 3.69-3.86
Pr 0.8827 0.2381 0.4458  7 Pr 3.49-3.82, 1 Dy 3.53, 2 Sm 3.69-3.86
Pr 0.9944 0.4358 0.8100  3 Pr 3.33-3.71, 1 Tm 3.47, 1 Dy 3.50, 1 Sm 3.61
Sm 0.0267 0.9733 0.2500  4 Dy 3.45-3.49, 6 Pr 3.61-3.86
Sm 0.9733 0.0267 0.7500  4 Dy 3.45-3.49, 6 Pr 3.61-3.86
Dy 0.2018 0.2996 0.0468  5 Pr 3.32-3.53, 2 Sm 3.45-3.49, 1 Tm 3.55
Dy 0.2996 0.2018 0.5468  5 Pr 3.32-3.53, 2 Sm 3.45-3.49, 1 Tm 3.55
Dy 0.7004 0.7982 0.4532  5 Pr 3.32-3.53, 2 Sm 3.45-3.49, 1 Tm 3.55
Dy 0.7982 0.7004 0.9532  5 Pr 3.32-3.53, 2 Sm 3.45-3.49, 1 Tm 3.55
Tm 0.4128 0.5872 0.7500  6 Pr 3.46-3.58, 2 Dy 3.55
Tm 0.5872 0.4128 0.2500  6 Pr 3.46-3.58, 2 Dy 3.55

=====

Pr3Sm2DyTm6: optimized geometry, GGA-PBE.

Output
* theoretical density: 8.20 g/cm³
* formation enthalpy at 0 K: 0.020 eV/atom
* uncorrected energy: -4.581 eV per atom
* space group: C2/m

Cell lengths 6.2033, 6.2033, 11.7217 Å; angles 95.05, 95.05, 119.99 degrees
With the nearest neighbours (Å) after each atom.
Fractional positions:
Pr 0.0000 0.0000 0.0000  6 Tm 3.57-3.58, 6 Pr 3.58
Pr 0.3332 0.6668 0.0000  6 Tm 3.57-3.58, 6 Pr 3.58
Pr 0.6668 0.3332 0.0000  6 Tm 3.57-3.58, 6 Pr 3.58
Sm 0.1665 0.8335 0.5000  6 Tm 3.52, 3 Sm 3.58, 3 Dy 3.58
Sm 0.8335 0.1665 0.5000  6 Tm 3.52, 3 Sm 3.58, 3 Dy 3.58
Dy 0.5000 0.5000 0.5000  6 Tm 3.52, 6 Sm 3.58
Tm 0.0843 0.4175 0.2528  2 Sm 3.52, 1 Dy 3.52, 3 Pr 3.57-3.58, 6 Tm 3.58
Tm 0.2494 0.2494 0.7474  1 Dy 3.52, 2 Sm 3.52, 3 Pr 3.57, 6 Tm 3.58
Tm 0.4175 0.0843 0.2528  2 Sm 3.52, 1 Dy 3.52, 3 Pr 3.57-3.58, 6 Tm 3.58
Tm 0.5825 0.9157 0.7472  2 Sm 3.52, 1 Dy 3.52, 3 Pr 3.57-3.58, 6 Tm 3.58
Tm 0.7506 0.7506 0.2526  1 Dy 3.52, 2 Sm 3.52, 3 Pr 3.57, 6 Tm 3.58
Tm 0.9157 0.5825 0.7472  2 Sm 3.52, 1 Dy 3.52, 3 Pr 3.57-3.58, 6 Tm 3.58

=====

PrSm2Dy6Tm: optimized geometry, GGA-PBE.

Output
* theoretical density: 8.07 g/cm³
* formation enthalpy at 0 K: 0.117 eV/atom
* uncorrected energy: -4.513 eV per atom
* space group: C2/c

Cell lengths 8.7940, 8.7940, 9.6393 Å; angles 94.08, 94.08, 117.87 degrees
With the nearest neighbours (Å) after each atom.
Fractional positions:
Pr 0.0210 0.9790 0.7500  4 Sm 3.39-3.41, 4 Dy 3.60-3.69
Pr 0.9790 0.0210 0.2500  4 Sm 3.39-3.41, 4 Dy 3.60-3.69
Sm 0.1981 0.3013 0.5446  6 Dy 3.26-3.64, 2 Pr 3.39-3.41, 1 Tm 3.53
Sm 0.3013 0.1981 0.0446  6 Dy 3.26-3.64, 2 Pr 3.39-3.41, 1 Tm 3.53
Sm 0.6987 0.8019 0.9554  6 Dy 3.26-3.64, 2 Pr 3.39-3.41, 1 Tm 3.53
Sm 0.8019 0.6987 0.4554  6 Dy 3.26-3.64, 2 Pr 3.39-3.41, 1 Tm 3.53
Dy 0.0177 0.5688 0.6855  2 Dy 3.23-3.56, 1 Sm 3.41, 1 Tm 3.46, 1 Pr 3.60
Dy 0.1240 0.7445 0.0572  7 Dy 3.41-3.74, 1 Sm 3.55, 1 Pr 3.69, 1 Tm 3.79
Dy 0.2555 0.8760 0.4428  7 Dy 3.41-3.74, 1 Sm 3.55, 1 Pr 3.69, 1 Tm 3.79
Dy 0.2936 0.5080 0.8812  4 Dy 3.23-3.49, 3 Sm 3.26-3.45, 2 Tm 3.42-3.55
Dy 0.4312 0.9823 0.8145  2 Dy 3.23-3.56, 1 Sm 3.41, 1 Tm 3.46, 1 Pr 3.60
Dy 0.4920 0.7064 0.6188  4 Dy 3.23-3.49, 3 Sm 3.26-3.45, 2 Tm 3.42-3.55
Dy 0.5080 0.2936 0.3812  4 Dy 3.23-3.49, 3 Sm 3.26-3.45, 2 Tm 3.42-3.55
Dy 0.5688 0.0177 0.1855  2 Dy 3.23-3.56, 1 Sm 3.41, 1 Tm 3.46, 1 Pr 3.60
Dy 0.7064 0.4920 0.1188  4 Dy 3.23-3.49, 3 Sm 3.26-3.45, 2 Tm 3.42-3.55
Dy 0.7445 0.1240 0.5572  7 Dy 3.41-3.74, 1 Sm 3.55, 1 Pr 3.69, 1 Tm 3.79
Dy 0.8760 0.2555 0.9428  7 Dy 3.41-3.74, 1 Sm 3.55, 1 Pr 3.69, 1 Tm 3.79
Dy 0.9823 0.4312 0.3145  2 Dy 3.23-3.56, 1 Sm 3.41, 1 Tm 3.46, 1 Pr 3.60
Tm 0.4085 0.5915 0.2500  8 Dy 3.42-3.79, 2 Sm 3.53
Tm 0.5915 0.4085 0.7500  8 Dy 3.42-3.79, 2 Sm 3.53

=====

Q: Look up the formation enthalpy at 0 K of the first one.
A: 0.013 eV/atom

=====

Q: The highest theoretical density belongs to which entry?
A: Pr3Sm2DyTm6

=====

Q: Which value of uncorrected energy does entry 4 give?
A: -4.593 eV per atom